Compound: CdRuCl
Source: the Alexandria database
Functional: PBE
Structure: optimized geometry

Cell: 7.642 7.303 3.086 Å, 84.34 71.97 23.69°
Fractional positions:
Cd: 0.015 0.015 0.985
Cl: 0.306 0.306 0.694
Ru: 0.680 0.680 0.320

Summary:
volume = 19.20 Å³ per atom
M_tot = 0.00 μB/f.u.
polymorph energy (0 for the lowest one) = 64.6 meV/atom
E_form (uncorrected) = 0.336 eV per atom
symmetry = No. 42
E = -3.676 eV/atom
crystal system = orthorhombic
Fermi-level density of states = 2.349 states/eV/cell

---

Compound: RePbW2N
Source: the Alexandria database
Functional: PBE
Structure: optimized geometry

Cell: 4.778 5.242 4.778 Å, 90.00 90.00 90.00°
Fractional positions:
Pb: 0.000 0.500 0.000
Re: 0.000 0.000 0.000
W: 0.000 0.000 0.500
W: 0.500 0.000 0.000
N: 0.500 0.500 0.500

Summary:
volume = 23.93 Å³ per atom
M_tot = 1.81 μB/f.u.
E_form (uncorrected) = 2.825 eV per atom
symmetry = No. 123
E = -7.253 eV/atom
crystal system = tetragonal
Fermi-level density of states = 5.617 states/eV/cell

---

Compound: Ho2Er3Ru2
Source: the Alexandria database
Functional: PBE
Structure: optimized geometry

Cell: 3.862 6.201 8.416 Å, 112.43 90.00 108.15°
Fractional positions:
Ho: 0.836 0.671 0.190
Ho: 0.164 0.329 0.810
Er: 0.500 0.000 0.000
Er: 0.622 0.244 0.429
Er: 0.378 0.756 0.571
Ru: 0.822 0.644 0.779
Ru: 0.178 0.356 0.221

Summary:
volume = 25.06 Å³ per atom
M_tot = 0.00 μB/f.u.
E_form = -0.361 eV/atom
symmetry = No. 12
E = -6.275 eV/atom
crystal system = monoclinic
Fermi-level density of states = 5.406 states/eV/cell

---

Compound: LuPaCdSn
Source: the Alexandria database
Functional: PBE
Structure: optimized geometry

Cell: 5.261 5.261 5.261 Å, 60.00 60.00 60.00°
Fractional positions:
Pa: 0.750 0.750 0.750
Lu: 0.250 0.250 0.250
Sn: 0.500 0.500 0.500
Cd: 0.000 0.000 0.000

Summary:
volume = 25.74 Å³ per atom
M_tot = 1.21 μB/f.u.
E_form = -0.092 eV/atom
symmetry = No. 216
E = -4.826 eV/atom
crystal system = cubic
Fermi-level density of states = 8.595 states/eV/cell

---

Copy entry 2 word for word.
Compound: RePbW2N
Source: the Alexandria database
Functional: PBE
Structure: optimized geometry

Cell: 4.778 5.242 4.778 Å, 90.00 90.00 90.00°
Fractional positions:
Pb: 0.000 0.500 0.000
Re: 0.000 0.000 0.000
W: 0.000 0.000 0.500
W: 0.500 0.000 0.000
N: 0.500 0.500 0.500

Summary:
volume = 23.93 Å³ per atom
M_tot = 1.81 μB/f.u.
E_form (uncorrected) = 2.825 eV per atom
symmetry = No. 123
E = -7.253 eV/atom
crystal system = tetragonal
Fermi-level density of states = 5.617 states/eV/cell

---

What did the fourth record say?
Compound: LuPaCdSn
Source: the Alexandria database
Functional: PBE
Structure: optimized geometry

Cell: 5.261 5.261 5.261 Å, 60.00 60.00 60.00°
Fractional positions:
Pa: 0.750 0.750 0.750
Lu: 0.250 0.250 0.250
Sn: 0.500 0.500 0.500
Cd: 0.000 0.000 0.000

Summary:
volume = 25.74 Å³ per atom
M_tot = 1.21 μB/f.u.
E_form = -0.092 eV/atom
symmetry = No. 216
E = -4.826 eV/atom
crystal system = cubic
Fermi-level density of states = 8.595 states/eV/cell

---

Q: What is the volume in the second record?
A: 23.93 Å³ per atom

---

Q: M_tot of number 3 (Ho2Er3Ru2)?
A: 0.00 μB/f.u.